# AcMg2CdIn2, optimized geometry, DFT PBE-GGA
data_AcMg2CdIn2
_cell_length_a 5.601
_cell_length_b 5.601
_cell_length_c 12.240
_cell_angle_alpha 90.00
_cell_angle_beta 90.00
_cell_angle_gamma 90.00
_space_group_name_H-M_alt 'I 4/m m m'
_space_group_IT_number 139
_space_group_name_Hall '-I 4 2'
loop_
_atom_site_label
_atom_site_type_symbol
_atom_site_fract_x
_atom_site_fract_y
_atom_site_fract_z
Ac1 Ac 0.000 0.000 0.000
Mg1 Mg 0.000 0.500 0.250
Cd1 Cd 0.000 0.000 0.500
In1 In 0.000 0.000 0.279
# Magnetization = 0.00 μB/atom
# Final energy = -26.16 eV per cell
# Fermi-level density of states = 3.376 states/eV/f.u.
# Energy of formation from the pure elements = 0.1015 eV per atom